Li7Mn2Co3O12 | PBE+U | optimized geometry

Values from the calculation:
Magnetization   5.98 μB/f.u.
Offset from the most stable computed form   66.9 meV per atom
Theoretical density   4.20 Mg/m³
SG   P1

```
Li7Mn2Co3O12
1.0
2.924 0.000 0.000
0.114 4.991 0.000
1.212 2.192 14.291
Li Mn Co O
7 2 3 12
direct
0.000 0.000 0.000
0.068 0.416 0.840
0.212 0.235 0.513
0.428 0.074 0.157
0.572 0.925 0.840
0.711 0.734 0.513
0.931 0.587 0.159
0.321 0.659 0.337
0.821 0.159 0.337
0.142 0.829 0.674
0.500 0.500 0.000
0.642 0.329 0.674
0.025 0.684 0.928
0.117 0.131 0.745
0.168 0.525 0.603
0.241 0.940 0.417
0.397 0.375 0.258
0.462 0.760 0.075
0.536 0.241 0.926
0.617 0.634 0.744
0.668 0.026 0.603
0.735 0.439 0.418
0.905 0.879 0.256
0.974 0.316 0.073
```